1.
Crystalline BaZrB at its relaxed geometry, computed with PBE-GGA.

Output
Space-group type = No. 216
E_tot = -3.728 eV/atom
ΔE to the lowest computed polymorph = 3.09 eV/f.u.

Cell lengths 6.667, 6.667, 6.667 Å; angles 90.00, 90.00, 90.00 degrees
Element x y z (fractional)
1 Ba 0.000 0.000 0.000
2 Ba 0.000 0.500 0.500
3 Ba 0.500 0.000 0.500
4 Ba 0.500 0.500 0.000
5 Zr 0.250 0.250 0.250
6 Zr 0.250 0.750 0.750
7 Zr 0.750 0.250 0.750
8 Zr 0.750 0.750 0.250
9 B 0.250 0.250 0.750
10 B 0.250 0.750 0.250
11 B 0.750 0.250 0.250
12 B 0.750 0.750 0.750

***

2.
Crystalline BeBiBOs at its relaxed geometry, computed with PBE-GGA.

Output
Space-group type = No. 216
E_tot = -5.163 eV/atom
ΔE to the lowest computed polymorph = 0.00 eV/f.u.

Cell lengths 6.098, 6.098, 6.098 Å; angles 90.00, 90.00, 90.00 degrees
Element x y z (fractional)
1 Be 0.000 0.000 0.000
2 Be 0.000 0.500 0.500
3 Be 0.500 0.000 0.500
4 Be 0.500 0.500 0.000
5 Bi 0.250 0.250 0.250
6 Bi 0.250 0.750 0.750
7 Bi 0.750 0.250 0.750
8 Bi 0.750 0.750 0.250
9 B 0.000 0.000 0.500
10 B 0.000 0.500 0.000
11 B 0.500 0.000 0.000
12 B 0.500 0.500 0.500
13 Os 0.250 0.250 0.750
14 Os 0.250 0.750 0.250
15 Os 0.750 0.250 0.250
16 Os 0.750 0.750 0.750

***

| no. | size of the total moment (μB per formula unit) |
| --- | --- |
| 1 | 0.78 |
| 2 | 0.01 |